1.
Material: MgSi2Mo
Method: DFT, meta-GGA SCAN
State: single point on PBEsol structure

Cell: 3.032 3.032 8.242 Å, 79.40 79.40 60.00°
Fractional positions:
Si1 0.742 0.742 0.774
Mo1 0.000 0.000 0.000
Si2 0.258 0.258 0.226
Mg1 0.500 0.500 0.500

Computed properties:
Energy relative to the elements, uncorrected   0.1 eV/f.u.



2.
Material: MgSiMo2
Method: DFT, meta-GGA SCAN
State: single point on PBEsol structure

Cell: 2.767 4.749 4.829 Å, 98.70 90.00 106.94°
Fractional positions:
Mo1 0.240 0.481 0.738
Mo2 0.999 0.998 0.003
Si1 0.504 0.008 0.506
Mg1 0.756 0.513 0.252

Computed properties:
Energy relative to the elements, uncorrected   0.8 eV/f.u.



3.
Material: MgSi2Mo
Method: DFT, meta-GGA SCAN
State: single point on PBEsol structure

Cell: 3.701 3.701 4.982 Å, 111.80 111.80 90.00°
Fractional positions:
Si1 0.750 0.250 0.500
Mg1 0.500 0.500 0.000
Mo1 0.250 0.750 0.500
Si2 0.000 0.000 0.000

Computed properties:
Energy relative to the elements, uncorrected   0.5 eV/f.u.



4.
Material: Mg2Sn2Mo
Method: DFT, meta-GGA SCAN
State: single point on PBEsol structure

Cell: 3.705 3.705 7.973 Å, 103.44 103.44 90.00°
Fractional positions:
Mg1 0.250 0.750 0.500
Mg2 0.750 0.250 0.500
Mo1 0.000 0.000 0.000
Sn1 0.594 0.594 0.189
Sn2 0.406 0.406 0.811

Computed properties:
Energy of formation from the pure elements   0.532 eV per atom



5.
Material: Sr2MgMo
Method: DFT, meta-GGA SCAN
State: single point on PBEsol structure

Cell: 3.864 5.024 6.655 Å, 90.00 106.88 90.00°
Site moments in Bohr magnetons follow the coordinates.
Fractional positions:
Mg1 0.807 0.000 0.613  -0.03
Mo1 0.696 0.500 0.392  2.58
Sr1 0.100 0.000 0.200  0.01
Sr2 0.406 0.500 0.812  -0.04

Computed properties:
Energy of formation from the pure elements   0.705 eV per atom



6.
Material: Sr2MgMo
Method: DFT, meta-GGA SCAN
State: single point on PBEsol structure

Cell: 3.696 3.696 8.968 Å, 90.00 90.00 90.00°
Site moments in Bohr magnetons follow the coordinates.
Fractional positions:
Mg1 0.000 0.000 0.567  -0.01
Sr1 0.500 0.500 0.313  -0.01
Mo1 0.500 0.500 0.691  2.38
Sr2 0.000 0.000 0.929  0.02

Computed properties:
Energy of formation from the pure elements   0.589 eV per atom



7.
Material: Sr2MgMo
Method: DFT, meta-GGA SCAN
State: single point on PBEsol structure

Cell: 3.720 5.587 6.648 Å, 114.84 106.25 90.00°
Site moments in Bohr magnetons follow the coordinates.
Fractional positions:
Sr1 0.762 0.262 0.525  0.00
Sr2 0.968 0.968 0.936  -0.03
Mg1 0.544 0.544 0.088  -0.01
Mo1 0.226 0.726 0.451  2.64

Computed properties:
Energy of formation from the pure elements   0.673 eV per atom



8.
Material: Sr2MgMo
Method: DFT, meta-GGA SCAN
State: single point on PBEsol structure

Cell: 3.356 3.356 11.454 Å, 81.58 81.58 60.00°
Site moments in Bohr magnetons follow the coordinates.
Fractional positions:
Sr1 0.741 0.741 0.777  -0.05
Sr2 0.259 0.259 0.223  -0.05
Mo1 0.000 0.000 0.000  1.50
Mg1 0.500 0.500 0.500  -0.01

Computed properties:
Energy of formation from the pure elements   0.947 eV per atom



9.
Material: MgTaMo2
Method: DFT, meta-GGA SCAN
State: single point on PBEsol structure

Cell: 2.642 4.910 5.314 Å, 91.48 90.00 105.61°
Fractional positions:
Mg1 0.249 0.498 0.753
Mo1 0.993 0.987 0.003
Mo2 0.754 0.508 0.245
Ta1 0.504 0.007 0.499

Computed properties:
Energy of formation from the pure elements   0.318 eV per atom



10.
Material: MgTa2Mo
Method: DFT, meta-GGA SCAN
State: single point on PBEsol structure

Cell: 4.392 4.714 4.392 Å, 62.24 90.00 117.76°
Fractional positions:
Ta1 0.250 0.500 0.250
Mo1 0.750 0.500 0.750
Ta2 0.000 0.000 0.000
Mg1 0.500 0.000 0.500

Computed properties:
Energy of formation from the pure elements   0.335 eV per atom



11.
Material: MgTaMo2
Method: DFT, meta-GGA SCAN
State: single point on PBEsol structure

Cell: 2.683 5.350 5.350 Å, 116.73 99.15 99.15°
Fractional positions:
Mg1 0.500 0.500 0.500
Mo1 0.000 0.500 0.000
Mo2 0.000 0.000 0.500
Ta1 0.500 0.000 0.000

Computed properties:
Energy of formation from the pure elements   0.210 eV per atom



12.
Material: MgTaMo2
Method: DFT, meta-GGA SCAN
State: single point on PBEsol structure

Cell: 3.174 3.174 6.720 Å, 90.00 90.00 90.00°
Fractional positions:
Ta1 0.000 0.000 0.470
Mg1 0.500 0.500 0.763
Mo1 0.500 0.500 0.238
Mo2 0.000 0.000 0.029

Computed properties:
Energy of formation from the pure elements   0.248 eV per atom